Run i
Compound: MgP2Br
Source: Alexandria
Functional: PBE
Structure: relaxed

Lattice parameters (Å, degrees): 8.085 6.418 6.418 148.84 148.42 42.49
Positions (direct):
P1 0.135 0.966 0.169
P2 0.365 0.534 0.831
Br1 0.750 0.250 0.500
Mg1 0.250 0.750 0.500

The value obtained for the size of the total moment is 0.00 μB/f.u. The space-group type is C2/m, No. 12. For the density of states at the Fermi level, the calculation gives 1.056 states/eV per cell. Its crystal system is monoclinic.



Run ii
Compound: MgP2Br
Source: Alexandria
Functional: PBE
Structure: relaxed

Lattice parameters (Å, degrees): 3.435 3.435 7.770 90.00 90.00 90.00
Positions (direct):
P1 0.500 0.500 0.084
P2 0.000 0.000 0.062
Mg1 0.500 0.500 0.766
Br1 0.000 0.000 0.589

The value obtained for the size of the total moment is 0.00 μB/f.u. The space-group type is P4mm, No. 99. For the density of states at the Fermi level, the calculation gives 1.101 states/eV per cell. Its crystal system is tetragonal.



Run iii
Compound: MgP2Br
Source: Alexandria
Functional: PBE
Structure: relaxed

Lattice parameters (Å, degrees): 3.577 3.578 6.257 90.00 90.00 90.00
Positions (direct):
Br1 0.500 0.000 0.500
P1 0.000 0.000 0.000
P2 0.500 0.500 0.000
Mg1 0.000 0.500 0.500

The value obtained for the size of the total moment is 0.00 μB/f.u. The space-group type is P4/mmm, No. 123. For the density of states at the Fermi level, the calculation gives 1.480 states/eV per cell. Its crystal system is tetragonal.



Pick run i: it beats the second-best structure by 124 meV per atom.